{"formula": "NiRuN2", "functional": "PBE", "state": "optimized geometry", "lattice": [[3.142, 0.000, 0.000], [0.000, 3.142, 0.000], [-0.001, 0.000, 4.476]], "species": ["Ni", "Ru", "N", "N"], "frac_coords": [[0.000, 0.000, 0.000], [0.498, 0.500, 0.500], [0.500, 0.000, 0.753], [0.998, 0.500, 0.247]], "e_above_lowest_polymorph_mev_per_atom": 0.0, "formation_energy_uncorrected_kj_per_mol_fu": 101, "final_energy_ev_per_atom": -7.666, "density_g_cm3": 7.1}